1.
Computed, not measured: a geometry-optimized Y2MgIn structure at the PBEsol level of DFT.

Crystal system: orthorhombic
Energy of formation: -0.340 eV per atom
E: -4.926 eV per atom

Cell and atoms, written as POSCAR:
```
Y2MgIn
1.0
3.4488 0.0000 0.0000
0.0000 4.3635 0.0000
0.0000 0.0000 6.8668
Y Mg In
2 1 1
Direct
0.0000 0.0000 0.2443 Y
0.0000 0.0000 0.7557 Y
0.5000 0.5000 0.5000 Mg
0.5000 0.5000 0.0000 In
```

---

2.
Computed, not measured: a geometry-optimized MnO2 structure at the PBEsol level of DFT.

Crystal system: monoclinic
ΔE_f (raw): -467 kJ/mol of formula units
E: -8.367 eV per atom

Cell and atoms, written as POSCAR:
```
MnO2
1.0
9.2489 0.0000 0.0000
0.0000 2.8417 0.0000
-0.4077 0.0000 9.3620
Mn O
6 12
Direct
0.0000 0.0000 0.0000 Mn
0.0117 0.5000 0.2645 Mn
0.2345 0.0000 0.5222 Mn
0.5000 0.5000 0.5000 Mn
0.7655 0.0000 0.4778 Mn
0.9883 0.5000 0.7355 Mn
0.0953 0.0000 0.6630 O
0.0986 0.5000 0.9122 O
0.1100 0.0000 0.1756 O
0.1456 0.5000 0.4216 O
0.3367 0.5000 0.6154 O
0.3988 0.0000 0.4064 O
0.6012 0.0000 0.5936 O
0.6633 0.5000 0.3846 O
0.8544 0.5000 0.5784 O
0.8900 0.0000 0.8244 O
0.9014 0.5000 0.0878 O
0.9047 0.0000 0.3370 O
```

---

3.
Computed, not measured: a geometry-optimized TiSeIN2 structure at the PBEsol level of DFT.

Crystal system: tetragonal
ΔE_f (raw): 712 kJ/mol of formula units
E: -4.723 eV per atom

Cell and atoms, written as POSCAR:
```
TiSeIN2
1.0
3.8507 0.0000 0.0000
0.0000 3.8507 0.0000
0.0000 0.0000 6.2188
Ti Se I N
1 1 1 2
Direct
0.0000 0.0000 0.0000 Ti
0.5000 0.5000 0.5000 Se
0.5000 0.5000 0.0000 I
0.0000 0.5000 0.5000 N
0.5000 0.0000 0.5000 N
```

---

4.
Computed, not measured: a geometry-optimized CaIn6Cu6 structure at the PBEsol level of DFT.

Crystal system: orthorhombic
Energy of formation: -0.143 eV per atom
E: -3.684 eV per atom

Cell and atoms, written as POSCAR:
```
CaIn6Cu6
1.0
-2.6529 4.5697 4.5954
2.6529 -4.5697 4.5954
2.6529 4.5697 -4.5954
Ca In Cu
1 6 6
Direct
0.0000 0.0000 0.0000 Ca
0.1815 0.6815 0.5000 In
0.3366 0.0000 0.3366 In
0.3421 0.3421 0.0000 In
0.6579 0.6579 0.0000 In
0.6634 0.0000 0.6634 In
0.8185 0.3185 0.5000 In
0.0000 0.0000 0.5000 Cu
0.0000 0.5000 0.0000 Cu
0.2378 0.5000 0.7378 Cu
0.5000 0.0000 0.0000 Cu
0.5000 0.5000 0.5000 Cu
0.7622 0.5000 0.2622 Cu
```

---

- The highest E belongs to which entry?
  CaIn6Cu6

---

- The lowest E belongs to which entry?
  MnO2